This record from OQMD describes a relaxed structure of TbPrSi3Au. The functional is PBE.

Relative energy among the computed polymorphs ... 0 meV per atom
M_tot ... 0.00 Bohr magnetons per cell

a b c (Å): 8.341 8.275 5.915
angles (deg): 69.75 68.55 41.70
Fractional coordinates of all 12 atoms:
Au: 0.831 0.831 0.169
Au: 0.169 0.169 0.831
Pr: 0.256 0.744 0.256
Pr: 0.744 0.256 0.744
Si: 0.830 0.335 0.170
Si: 0.665 0.170 0.335
Si: 0.664 0.664 0.336
Si: 0.336 0.336 0.664
Si: 0.335 0.830 0.665
Si: 0.170 0.665 0.830
Tb: 0.250 0.250 0.250
Tb: 0.750 0.750 0.750